A relaxed NiTe2SeN crystal, computed with PBE.

a b c (Å): 5.5545 5.5545 3.5970
angles (deg): 90.00 90.00 90.00
With the nearest neighbours (Å) after each atom.
Atoms (fractional coordinates):
Ni 0.5000 0.5000 0.5000  8 Te 3.31, 2 Ni 3.60
Te 0.0000 0.5000 0.0000  2 Se 2.78
Te 0.5000 0.0000 0.0000  2 Se 2.78
Se 0.0000 0.0000 0.0000  2 N 1.80
N 0.0000 0.0000 0.5000  2 Se 1.80

The uncorrected formation energy comes out at 1.225 eV/atom. The value obtained for the volume is 22.20 Å³/atom. The electronic total energy is -3.550 eV/atom. For the total magnetic moment, the calculation gives 0.0 μB per formula unit. As for the energy above the most stable polymorph in this dataset: 0.7141 eV per atom.